## P
Th2AgGe2 PBE relaxed; V = 23.8 A^3/atom
1.0
-0.908 3.897 1.834
-5.188 2.294 -2.162
-4.621 -2.500 8.304
Ge Th Ag
4 4 2
direct
0.067 0.299 0.567
0.639 0.831 0.890
0.361 0.169 0.110
0.933 0.701 0.433
0.914 0.276 0.896
0.086 0.724 0.104
0.677 0.320 0.325
0.323 0.680 0.675
0.633 0.086 0.649
0.367 0.914 0.351

## Q
Th2AgGe2 PBE relaxed; V = 24.1 A^3/atom
1.0
4.337 0.000 0.000
0.000 7.456 0.000
0.000 0.000 7.456
Th Ag Ge
4 2 4
direct
0.500 0.180 0.680
0.500 0.820 0.320
0.500 0.320 0.180
0.500 0.680 0.820
0.000 0.500 0.500
0.000 0.000 0.000
0.000 0.622 0.122
0.000 0.878 0.622
0.000 0.122 0.378
0.000 0.378 0.878

Most stable one: Q, least stable one: P.

## P
TiAg3Ge PBE relaxed; V = 21.9 A^3/atom
1.0
4.784 0.000 0.000
0.000 4.784 0.000
0.000 0.000 4.784
Ag Ge Ti
3 1 1
direct
0.000 0.000 0.500
0.000 0.500 0.000
0.500 0.000 0.000
0.000 0.000 0.000
0.500 0.500 0.500

## Q
TiAg3Ge PBE relaxed; V = 25.3 A^3/atom
1.0
-4.863 -0.247 1.212
1.168 -2.535 4.170
0.407 4.323 2.515
Ti Ag Ge
1 3 1
direct
0.000 0.000 0.000
0.500 0.000 0.000
0.000 0.500 0.000
0.000 0.000 0.500
0.500 0.500 0.500

Most stable one: P, least stable one: Q.